(1)
Here is crystalline Sm5Ho5Sc2 at its relaxed geometry from the Alexandria database. Energies are from PBE.

Properties
* ΔE_f: 0.1086 eV per atom
* energy above the lowest structure with this stoichiometry: 0.072 eV per atom
* mass density: 7.39 Mg/m³
* density of states at the Fermi level: 20.28 states/eV/f.u.

abc: 11.7438 5.5955 12.0349
angles: 90.00 108.86 90.00
With the nearest neighbours (Å) after each atom.
Space group C2/m (No. 12)
Asymmetric unit:
Sm 0.0000 0.0000 0.0000 x2  2 Sm 3.45, 8 Ho 3.51-3.69, 4 Sc 3.70
Sm 0.0711 0.0000 0.7437 x4  2 Sm 3.32-3.45, 2 Sc 3.44, 4 Ho 3.59-3.67
Sm 0.1972 0.0000 0.5338 x4  3 Sm 3.27-3.32, 1 Sc 3.33, 5 Ho 3.40-3.60
Ho 0.0000 0.5000 0.5000 x2  2 Ho 3.43, 6 Sm 3.57-3.71
Ho 0.1791 0.5000 0.9775 x4  2 Sc 3.15-3.38, 3 Ho 3.21-3.38
Ho 0.2377 0.0000 0.2668 x4  2 Sc 3.31, 2 Ho 3.38-3.43, 7 Sm 3.40-3.61
Sc 0.0795 0.5000 0.2118 x4  4 Ho 3.15-3.38, 3 Sm 3.33-3.44



(2)
Here is crystalline Sm4Ho2Sc at its relaxed geometry from the Alexandria database. Energies are from PBE.

Properties
* ΔE_f: 0.1381 eV per atom
* energy above the lowest structure with this stoichiometry: 0.069 eV per atom
* mass density: 7.30 Mg/m³
* density of states at the Fermi level: 11.02 states/eV/f.u.

abc: 6.1164 6.5759 11.4212
angles: 90.00 104.92 90.00
With the nearest neighbours (Å) after each atom.
Space group P2_1/m (No. 11)
Asymmetric unit:
Sm 0.0450 0.2500 0.3710 x2  3 Sc 3.24-3.48, 3 Ho 3.32-3.41, 2 Sm 3.39
Sm 0.1520 0.2500 0.9447 x2  1 Sc 3.20, 4 Ho 3.39-3.42, 4 Sm 3.47-3.55
Sm 0.3577 0.5097 0.2154 x4  4 Sm 3.16-3.47, 1 Sc 3.38, 1 Ho 3.46
Ho 0.2806 0.7500 0.9198 x2  9 Sm 3.39-3.65
Ho 0.3865 0.7500 0.5026 x2  6 Sm 3.32-3.63, 1 Sc 3.33, 2 Ho 3.58
Sc 0.1472 0.2500 0.6641 x2  6 Sm 3.20-3.48, 1 Ho 3.33



(3)
Here is crystalline Sm7HoSc4 at its relaxed geometry from the Alexandria database. Energies are from PBE.

Properties
* ΔE_f: 0.0312 eV per atom
* energy above the lowest structure with this stoichiometry: 0.000 eV per atom
* mass density: 6.39 Mg/m³
* density of states at the Fermi level: 16.20 states/eV/f.u.

abc: 6.1147 7.0510 8.6673
angles: 89.98 76.36 89.99
With the nearest neighbours (Å) after each atom.
Space group P-1 (No. 2)
Asymmetric unit:
Sm 0.0000 0.0000 0.0000 x1  4 Sc 3.45-3.50, 6 Sm 3.48-3.54, 2 Ho 3.53
Sm 0.2233 0.4995 0.3363 x2  6 Sm 3.44-3.59, 5 Sc 3.44-3.58, 1 Ho 3.50
Sm 0.2867 0.7555 0.6601 x2  6 Sc 3.38-3.62, 5 Sm 3.44-3.59, 1 Ho 3.54
Sm 0.4966 0.2435 0.9921 x2  7 Sm 3.44-3.62, 3 Sc 3.44-3.55, 2 Ho 3.52-3.58
Ho 0.0000 0.5000 0.0000 x1  10 Sm 3.50-3.58, 2 Sc 3.51
Sc 0.2144 0.0009 0.3407 x2  4 Sc 3.33-3.57, 8 Sm 3.38-3.55
Sc 0.2726 0.2423 0.6633 x2  3 Sc 3.36-3.57, 8 Sm 3.40-3.62, 1 Ho 3.51



(4)
Here is crystalline Sm7HoSc4 at its relaxed geometry from the Alexandria database. Energies are from PBE.

Properties
* ΔE_f: 0.2364 eV per atom
* energy above the lowest structure with this stoichiometry: 0.205 eV per atom
* mass density: 6.25 Mg/m³
* density of states at the Fermi level: 20.45 states/eV/f.u.

abc: 15.5702 5.8291 9.4488
angles: 90.00 120.08 90.00
With the nearest neighbours (Å) after each atom.
Space group C2/m (No. 12)
Asymmetric unit:
Sm 0.0000 0.0000 0.0000 x2  2 Ho 2.91, 2 Sc 3.00
Sm 0.0893 0.5000 0.4491 x4  5 Sc 3.32-3.52, 3 Sm 3.37-3.57
Sm 0.2090 0.5000 0.8846 x4  6 Sm 3.47-3.57, 4 Sc 3.61-3.80
Sm 0.2378 0.5000 0.2736 x4  4 Sc 3.09-3.33, 1 Ho 3.29, 1 Sm 3.46
Ho 0.0000 0.5000 0.0000 x2  2 Sm 2.91
Sc 0.0561 0.0000 0.6993 x4  2 Sm 3.09-3.36, 2 Sc 3.23-3.26
Sc 0.1646 0.0000 0.3493 x4  5 Sm 3.00-3.33, 1 Sc 3.23



(5)
Here is crystalline Sm8HoSc2 at its relaxed geometry from the Alexandria database. Energies are from PBE.

Properties
* ΔE_f: 0.1250 eV per atom
* energy above the lowest structure with this stoichiometry: 0.000 eV per atom
* mass density: 6.80 Mg/m³
* density of states at the Fermi level: 18.54 states/eV/f.u.

abc: 5.4723 8.3467 15.5823
angles: 90.00 90.00 90.00
With the nearest neighbours (Å) after each atom.
Space group Immm (No. 71)
Asymmetric unit:
Sm 0.0000 0.0000 0.1610 x4  2 Sc 3.48, 8 Sm 3.50-3.70, 2 Ho 3.71
Sm 0.0000 0.2029 0.3573 x8  1 Ho 3.33, 3 Sc 3.35-3.47, 6 Sm 3.39-3.70
Sm 0.0000 0.3010 0.0000 x4  7 Sm 3.32-3.55, 2 Sc 3.55, 2 Ho 3.71
Ho 0.0000 0.5000 0.5000 x2  12 Sm 3.33-3.71
Sc 0.0000 0.5000 0.2013 x4  10 Sm 3.35-3.55



(6)
Here is crystalline Sm6Ho3Sc at its relaxed geometry from the Alexandria database. Energies are from PBE.

Properties
* ΔE_f: 0.1405 eV per atom
* mass density: 7.37 Mg/m³
* density of states at the Fermi level: 13.33 states/eV/f.u.

abc: 10.9775 19.0954 6.1986
angles: 90.00 90.00 90.00
With the nearest neighbours (Å) after each atom.
Space group Cmc2_1 (No. 36)
Asymmetric unit:
Sm 0.0000 0.0451 0.0000 x4  1 Sc 3.24, 4 Ho 3.49-3.62, 2 Sm 3.55
Sm 0.0000 0.2762 0.7262 x4  4 Sm 3.17-3.41, 1 Sc 3.26, 1 Ho 3.35
Sm 0.1659 0.4552 0.6174 x8  4 Ho 3.44-3.68, 5 Sm 3.47-3.74
Sm 0.2346 0.2886 0.4293 x8  5 Sm 3.17-3.47, 2 Ho 3.29-3.54, 2 Sc 3.37-3.38
Ho 0.0000 0.3866 0.1462 x4  7 Sm 3.35-3.68, 1 Sc 3.54, 2 Ho 3.75
Ho 0.1639 0.1112 0.5369 x8  1 Sc 3.26, 6 Sm 3.29-3.62, 1 Ho 3.60
Sc 0.0000 0.2018 0.1995 x4  7 Sm 3.24-3.56, 3 Ho 3.26-3.54



(7)
Here is crystalline Sm2HoSc2 at its relaxed geometry from the Alexandria database. Energies are from PBE.

Properties
* ΔE_f: 0.1590 eV per atom
* energy above the lowest structure with this stoichiometry: 0.028 eV per atom
* mass density: 6.11 Mg/m³
* density of states at the Fermi level: 8.44 states/eV/f.u.

abc: 8.8697 15.6410 5.6099
angles: 90.00 129.15 90.00
With the nearest neighbours (Å) after each atom.
Space group C2/c (No. 15)
Asymmetric unit:
Sm 0.2488 0.0627 0.4987 x8  5 Sc 3.33-3.48, 4 Sm 3.42-3.46, 3 Ho 3.55-3.72
Ho 0.0000 0.1482 0.7500 x4  5 Sc 3.26-3.46, 4 Sm 3.55
Sc 0.0000 0.2549 0.2500 x4  2 Ho 3.26, 4 Sc 3.33-3.44, 4 Sm 3.33-3.46
Sc 0.0000 0.3695 0.7500 x4  2 Sc 3.33, 3 Ho 3.45-3.46, 6 Sm 3.46-3.48



(8)
Here is crystalline SmHo7Sc2 at its relaxed geometry from the Alexandria database. Energies are from PBE.

Properties
* ΔE_f: 0.6638 eV per atom
* energy above the lowest structure with this stoichiometry: 0.002 eV per atom
* mass density: 6.32 Mg/m³
* density of states at the Fermi level: 14.33 states/eV/f.u.

abc: 8.7574 15.0754 5.5529
angles: 90.00 90.00 90.00
With the nearest neighbours (Å) after each atom.
Space group Cmmm (No. 65)
Asymmetric unit:
Sm 0.0000 0.0000 0.0000 x2  10 Ho 3.62-3.68
Ho 0.0000 0.2402 0.0000 x4  2 Sc 2.90
Ho 0.0000 0.5000 0.5000 x2  2 Sc 3.08, 4 Ho 3.34
Ho 0.1810 0.1211 0.5000 x8  2 Sc 3.06-3.07, 2 Ho 3.17-3.34
Sc 0.0000 0.2958 0.5000 x4  7 Ho 2.90-3.08



- The lowest ΔE_f belongs to which entry?
  number 3



- The highest mass density belongs to which entry?
  Sm5Ho5Sc2